1:
# Ce2Nd2Ga3

A relaxed Ce2Nd2Ga3 crystal (PBE, Alexandria).

Output
Theoretical density in Mg/m³: 7.5
M_tot in μB/cell: 1.1

a b c (Å): 12.302 12.302 3.413
angles (deg): 90.00 90.00 160.53
Fractional coordinates of all 7 atoms:
Ce (0.212, 0.788, 0.000)
Ce (0.788, 0.212, 0.000)
Nd (0.073, 0.927, 0.000)
Nd (0.927, 0.073, 0.000)
Ga (0.354, 0.646, 0.500)
Ga (0.500, 0.500, 0.500)
Ga (0.646, 0.354, 0.500)

=====

2:
# Ce2Nd2Ga3

A relaxed Ce2Nd2Ga3 crystal (PBE, Alexandria).

Output
Theoretical density in Mg/m³: 6.9
M_tot in μB/cell: 2.0

a b c (Å): 7.123 7.123 7.023
angles (deg): 113.40 113.40 35.27
Fractional coordinates of all 7 atoms:
Ce (0.108, 0.108, 0.278)
Ce (0.892, 0.892, 0.722)
Nd (0.172, 0.172, 0.765)
Nd (0.828, 0.828, 0.235)
Ga (0.421, 0.421, 0.057)
Ga (0.500, 0.500, 0.500)
Ga (0.579, 0.579, 0.943)

=====

Most favorable first, least favorable last: 1, 2

=====

1:
# CeNd2Ga2

A relaxed CeNd2Ga2 crystal (PBE, Alexandria).

Output
Theoretical density in Mg/m³: 6.4
M_tot in μB/cell: 2.4

a b c (Å): 7.696 7.696 7.696
angles (deg): 111.53 86.68 133.70
Fractional coordinates of all 10 atoms:
Ce (0.250, 0.250, 0.000)
Ce (0.750, 0.750, 0.000)
Nd (0.148, 0.626, 0.774)
Nd (0.352, 0.126, 0.477)
Nd (0.648, 0.874, 0.523)
Nd (0.852, 0.374, 0.226)
Ga (0.113, 0.273, 0.386)
Ga (0.387, 0.773, 0.160)
Ga (0.613, 0.227, 0.840)
Ga (0.887, 0.727, 0.614)

=====

2:
# CeNd2Ga2

A relaxed CeNd2Ga2 crystal (PBE, Alexandria).

Output
Theoretical density in Mg/m³: 7.0
M_tot in μB/cell: 0.3

a b c (Å): 5.935 5.935 5.935
angles (deg): 133.53 111.08 87.23
Fractional coordinates of all 5 atoms:
Ce (0.000, 0.000, 0.000)
Nd (0.299, 0.799, 0.500)
Nd (0.701, 0.201, 0.500)
Ga (0.301, 0.500, 0.801)
Ga (0.699, 0.500, 0.199)

=====

Most favorable first, least favorable last: 2, 1

=====

1:
# CeNdGaRh

A relaxed CeNdGaRh crystal (PBE, Alexandria).

Output
Theoretical density in Mg/m³: 7.9
M_tot in μB/cell: 0.2

a b c (Å): 3.866 6.215 6.215
angles (deg): 39.99 90.00 90.00
Fractional coordinates of all 4 atoms:
Ce (0.000, 0.000, 0.000)
Nd (0.500, 0.721, 0.721)
Ga (0.000, 0.303, 0.303)
Rh (0.500, 0.461, 0.461)

=====

2:
# CeNdGaRh

A relaxed CeNdGaRh crystal (PBE, Alexandria).

Output
Theoretical density in Mg/m³: 8.1
M_tot in μB/cell: 0.4

a b c (Å): 5.090 5.090 5.090
angles (deg): 60.00 60.00 60.00
Fractional coordinates of all 4 atoms:
Ce (0.000, 0.000, 0.000)
Nd (0.500, 0.500, 0.500)
Ga (0.250, 0.250, 0.250)
Rh (0.750, 0.750, 0.750)

=====

Most favorable first, least favorable last: 1, 2

=====

1:
# CeNdTlGa

A relaxed CeNdTlGa crystal (PBE, Alexandria).

Output
Theoretical density in Mg/m³: 8.4
M_tot in μB/cell: 0.9

a b c (Å): 5.376 5.376 5.376
angles (deg): 60.00 60.00 60.00
Fractional coordinates of all 4 atoms:
Ce (0.000, 0.000, 0.000)
Nd (0.500, 0.500, 0.500)
Tl (0.250, 0.250, 0.250)
Ga (0.750, 0.750, 0.750)

=====

2:
# CeNdTlGa

A relaxed CeNdTlGa crystal (PBE, Alexandria).

Output
Theoretical density in Mg/m³: 8.7
M_tot in μB/cell: 0.9

a b c (Å): 3.484 3.484 8.773
angles (deg): 90.00 90.00 90.00
Fractional coordinates of all 4 atoms:
Ce (0.000, 0.000, 0.000)
Nd (0.000, 0.000, 0.457)
Tl (0.500, 0.500, 0.731)
Ga (0.500, 0.500, 0.227)

=====

Most favorable first, least favorable last: 2, 1

=====

1:
# CeGa3Ni

A relaxed CeGa3Ni crystal (PBE, Alexandria).

Output
Theoretical density in Mg/m³: 7.0
M_tot in μB/cell: 1.2

a b c (Å): 4.601 4.601 4.601
angles (deg): 90.00 90.00 90.00
Fractional coordinates of all 5 atoms:
Ce (0.000, 0.000, 0.000)
Ga (0.000, 0.500, 0.500)
Ga (0.500, 0.000, 0.500)
Ga (0.500, 0.500, 0.000)
Ni (0.500, 0.500, 0.500)

=====

2:
# CeGa3Ni

A relaxed CeGa3Ni crystal (PBE, Alexandria).

Output
Theoretical density in Mg/m³: 7.5
M_tot in μB/cell: 1.3

a b c (Å): 8.203 4.170 10.533
angles (deg): 90.00 90.00 90.00
Fractional coordinates of all 20 atoms:
Ce (0.189, 0.250, 0.012)
Ce (0.311, 0.750, 0.512)
Ce (0.689, 0.250, 0.488)
Ce (0.811, 0.750, 0.988)
Ga (0.061, 0.250, 0.586)
Ga (0.120, 0.750, 0.798)
Ga (0.135, 0.750, 0.217)
Ga (0.365, 0.250, 0.717)
Ga (0.380, 0.250, 0.298)
Ga (0.439, 0.750, 0.086)
Ga (0.561, 0.250, 0.914)
Ga (0.620, 0.750, 0.702)
Ga (0.635, 0.750, 0.283)
Ga (0.865, 0.250, 0.783)
Ga (0.880, 0.250, 0.202)
Ga (0.939, 0.750, 0.414)
Ni (0.096, 0.250, 0.352)
Ni (0.404, 0.750, 0.852)
Ni (0.596, 0.250, 0.148)
Ni (0.904, 0.750, 0.648)

=====

3:
# CeGa3Ni

A relaxed CeGa3Ni crystal (PBE, Alexandria).

Output
Theoretical density in Mg/m³: 7.4
M_tot in μB/cell: 0.3

a b c (Å): 5.903 5.903 5.903
angles (deg): 138.00 138.00 60.91
Fractional coordinates of all 5 atoms:
Ce (0.000, 0.000, 0.000)
Ga (0.251, 0.751, 0.500)
Ga (0.414, 0.414, 0.000)
Ga (0.751, 0.251, 0.500)
Ni (0.642, 0.642, 0.000)

=====

Most favorable first, least favorable last: 3, 2, 1

=====

1:
# Ce2NpGa

A relaxed Ce2NpGa crystal (PBE, Alexandria).

Output
Theoretical density in Mg/m³: 10.2
M_tot in μB/cell: 6.1

a b c (Å): 4.704 4.704 4.302
angles (deg): 90.00 90.00 90.00
Fractional coordinates of all 4 atoms:
Ce (0.000, 0.500, 0.000)
Ce (0.500, 0.000, 0.000)
Np (0.000, 0.000, 0.500)
Ga (0.500, 0.500, 0.500)

=====

2:
# Ce2NpGa

A relaxed Ce2NpGa crystal (PBE, Alexandria).

Output
Theoretical density in Mg/m³: 10.2
M_tot in μB/cell: 5.7

a b c (Å): 3.766 3.766 6.732
angles (deg): 90.00 90.00 90.00
Fractional coordinates of all 4 atoms:
Ce (0.000, 0.000, 0.240)
Ce (0.000, 0.000, 0.760)
Np (0.500, 0.500, 0.500)
Ga (0.500, 0.500, 0.000)

=====

Most favorable first, least favorable last: 1, 2

=====

1:
# Ce2NpGa

A relaxed Ce2NpGa crystal (PBE, Alexandria).

Output
Theoretical density in Mg/m³: 10.3
M_tot in μB/cell: 7.6

a b c (Å): 5.120 5.120 5.120
angles (deg): 60.00 60.00 60.00
Fractional coordinates of all 4 atoms:
Ce (0.250, 0.250, 0.250)
Ce (0.750, 0.750, 0.750)
Np (0.000, 0.000, 0.000)
Ga (0.500, 0.500, 0.500)

=====

2:
# Ce2NpGa

A relaxed Ce2NpGa crystal (PBE, Alexandria).

Output
Theoretical density in Mg/m³: 10.8
M_tot in μB/cell: 0.0

a b c (Å): 8.267 8.267 8.267
angles (deg): 25.24 25.24 25.24
Fractional coordinates of all 4 atoms:
Ce (0.233, 0.233, 0.233)
Ce (0.767, 0.767, 0.767)
Np (0.500, 0.500, 0.500)
Ga (0.000, 0.000, 0.000)

=====

Most favorable first, least favorable last: 1, 2

=====

1:
# CeNpGa2

A relaxed CeNpGa2 crystal (PBE, Alexandria).

Output
Theoretical density in Mg/m³: 9.3
M_tot in μB/cell: 4.4

a b c (Å): 5.066 5.066 5.066
angles (deg): 60.00 60.00 60.00
Fractional coordinates of all 4 atoms:
Ce (0.000, 0.000, 0.000)
Np (0.500, 0.500, 0.500)
Ga (0.250, 0.250, 0.250)
Ga (0.750, 0.750, 0.750)

=====

2:
# CeNpGa2

A relaxed CeNpGa2 crystal (PBE, Alexandria).

Output
Theoretical density in Mg/m³: 9.7
M_tot in μB/cell: 4.9

a b c (Å): 4.497 4.497 4.351
angles (deg): 90.00 90.00 90.00
Fractional coordinates of all 4 atoms:
Ce (0.000, 0.000, 0.000)
Np (0.500, 0.500, 0.000)
Ga (0.000, 0.500, 0.500)
Ga (0.500, 0.000, 0.500)

=====

Most favorable first, least favorable last: 2, 1